The following is a DFT calculation (PBE-GGA) of a geometry-optimized BaGeSb3 structure.

```
BaGeSb3
1.0
5.509 0.000 0.000
0.000 5.509 0.000
0.000 0.000 5.509
Ba Ge Sb
1 1 3
Direct
0.000 0.000 0.000 Ba
0.500 0.500 0.500 Ge
0.000 0.500 0.500 Sb
0.500 0.000 0.500 Sb
0.500 0.500 0.000 Sb
```

Mass density = 5.71 Mg/m³
V = 33.4 Å³/atom
E_form (uncorrected) = -0.0573 eV per atom
Symmetry = Pm-3m (221)
Distance to the lowest polymorph of the same formula = 1.30 eV per formula unit